No. 1
## U2Ni2PbS6 (GGA-PBE)

Data for a relaxed U2Ni2PbS6 crystal.

Summary:
* D(E_F): 10.58 states/eV/f.u.
* ΔE_f (raw): -0.881 eV/atom

abc: 6.935 7.015 7.085
angles: 63.44 62.29 60.41
Space group P-1 (No. 2)
Symmetry-distinct sites (fractional):
U  0.169  0.490  0.173
Ni  0.192  0.940  0.839
Pb  0.500  0.500  0.500
S  0.055  0.743  0.801
S  0.216  0.251  0.576
S  0.408  0.748  0.059

---

No. 2
## ZrNiPbS3 (GGA-PBE)

Data for a relaxed ZrNiPbS3 crystal.

Summary:
* D(E_F): 0.74 states/eV/f.u.
* ΔE_f (raw): -0.929 eV/atom

abc: 7.880 3.730 8.915
angles: 90.00 106.63 90.00
Space group P2_1/m (No. 11)
Symmetry-distinct sites (fractional):
Zr  0.183  0.250  0.167
Ni  0.426  0.750  0.386
Pb  0.307  0.750  0.713
S  0.057  0.250  0.851
S  0.277  0.250  0.459
S  0.394  0.750  0.127

---

No. 3
## ZrNiPbS4 (GGA-PBE)

Data for a relaxed ZrNiPbS4 crystal.

Summary:
* D(E_F): 3.06 states/eV/f.u.
* ΔE_f (raw): -0.776 eV/atom

abc: 6.476 5.421 8.347
angles: 90.00 107.07 90.00
Space group P2_1/m (No. 11)
Symmetry-distinct sites (fractional):
Zr  0.231  0.250  0.444
Ni  0.241  0.750  0.657
Pb  0.228  0.250  0.951
S  0.059  0.750  0.393
S  0.060  0.750  0.853
S  0.486  0.501  0.295

---

No. 4
## Ni2SbPb (GGA-PBE)

Data for a relaxed Ni2SbPb crystal.

Summary:
* D(E_F): 2.58 states/eV/f.u.
* ΔE_f (raw): 0.027 eV/atom

abc: 7.415 4.268 5.714
angles: 90.00 116.11 90.00
Space group C2/m (No. 12)
Symmetry-distinct sites (fractional):
Ni  0.199  0.000  0.095
Sb  0.000  0.500  0.000
Pb  0.000  0.000  0.500

---

No. 5
## NiSbPb2 (GGA-PBE)

Data for a relaxed NiSbPb2 crystal.

Summary:
* D(E_F): 3.39 states/eV/f.u.
* ΔE_f (raw): 0.047 eV/atom

abc: 3.6456 3.6456 26.6001
angles: 90.00 90.00 120.00
Space group R3m (No. 160, hexagonal axes)
Symmetry-distinct sites (fractional):
Ni  0.0000  0.0000  0.0000
Sb  0.0000  0.0000  0.7191
Pb  0.0000  0.0000  0.2644
Pb  0.0000  0.0000  0.4905

---

No. 6
## Ni2SbPb (GGA-PBE)

Data for a relaxed Ni2SbPb crystal.

Summary:
* D(E_F): 2.54 states/eV/f.u.
* ΔE_f (raw): 0.147 eV/atom

abc: 4.647 4.658 6.852
angles: 90.00 90.00 90.00
Space group Cmmm (No. 65)
Symmetry-distinct sites (fractional):
Ni  0.000  0.000  0.194
Sb  0.000  0.500  0.000
Pb  0.000  0.500  0.500

---

No. 7
## Ni2SbPb (GGA-PBE)

Data for a relaxed Ni2SbPb crystal.

Summary:
* D(E_F): 2.09 states/eV/f.u.
* ΔE_f (raw): -0.003 eV/atom

abc: 4.034 3.583 9.940
angles: 90.00 90.00 90.00
Space group Amm2 (No. 38)
Symmetry-distinct sites (fractional):
Ni  0.000  0.000  0.000
Ni  0.500  0.000  0.155
Sb  0.500  0.000  0.449
Pb  0.000  0.000  0.726

---

No. 8
## Ni2SbPb (GGA-PBE)

Data for a relaxed Ni2SbPb crystal.

Summary:
* D(E_F): 2.58 states/eV/f.u.
* ΔE_f (raw): 0.093 eV/atom

abc: 3.193 3.897 12.380
angles: 90.00 90.00 90.00
Space group Imm2 (No. 44)
Symmetry-distinct sites (fractional):
Ni  0.000  0.000  0.000
Ni  0.000  0.500  0.324
Sb  0.000  0.500  0.865
Pb  0.000  0.000  0.620

---

Please write out number 5 again, unchanged.
## NiSbPb2 (GGA-PBE)

Data for a relaxed NiSbPb2 crystal.

Summary:
* D(E_F): 3.39 states/eV/f.u.
* ΔE_f (raw): 0.047 eV/atom

abc: 3.6456 3.6456 26.6001
angles: 90.00 90.00 120.00
Space group R3m (No. 160, hexagonal axes)
Symmetry-distinct sites (fractional):
Ni  0.0000  0.0000  0.0000
Sb  0.0000  0.0000  0.7191
Pb  0.0000  0.0000  0.2644
Pb  0.0000  0.0000  0.4905